Computed, not measured: HgOs3 after structural relaxation at the PBE-GGA level of DFT.

Size of the total moment = 0.9 μB/f.u.
Energy of formation from the pure elements = 989 meV/atom
Energy above the lowest structure with this stoichiometry = 596.6 meV/atom

abc: 3.9508 3.9508 16.0921
angles: 90.00 90.00 90.00
Closest atoms and distances in Å follow each position.
Space group I4/mmm (No. 139)
One atom of each set of equivalent atoms:
1 Hg 0.0000 0.0000 0.1227 (multiplicity 4)  12 Os 2.79-2.85
2 Os 0.0000 0.0000 0.3707 (multiplicity 4)  8 Os 2.77-2.87, 4 Hg 2.80
3 Os 0.0000 0.5000 0.0000 (multiplicity 4)  4 Hg 2.79, 8 Os 2.79-2.87
4 Os 0.0000 0.5000 0.2500 (multiplicity 4)  8 Os 2.77-2.79, 4 Hg 2.85